Material: NiH12Br2O14
Method: DFT, GGA+U
State: optimized geometry

Values from the calculation:
Space-group type ... No. 147
Polymorph energy (0 for the lowest one) ... 0 meV per atom

a b c (Å): 6.1578 7.7895 7.7895
angles (deg): 120.00 90.00 90.00
Last column: nearest neighbours and their distance in Å.
Fractional coordinates of all 29 atoms:
Ni 0.5000 0.0000 0.0000  6 O 2.07
H 0.7170 0.2656 0.9349  1 O 0.98
H 0.7170 0.6693 0.7344  1 O 0.98
H 0.7170 0.0651 0.3307  1 O 0.98
H 0.2830 0.7344 0.0651  1 O 0.98
H 0.2830 0.3307 0.2656  1 O 0.98
H 0.2830 0.9349 0.6693  1 O 0.98
H 0.7131 0.0619 0.7296  1 O 0.98
H 0.7131 0.6677 0.9381  1 O 0.98
H 0.7131 0.2705 0.3323  1 O 0.98
H 0.2869 0.9381 0.2705  1 O 0.98
H 0.2869 0.3323 0.0619  1 O 0.98
H 0.2869 0.7296 0.6677  1 O 0.98
Br 0.8208 0.6667 0.3333  4 O 1.64-1.66
Br 0.1792 0.3333 0.6667  4 O 1.64-1.66
O 0.0868 0.6667 0.3333  1 Br 1.64
O 0.9132 0.3333 0.6667  1 Br 1.64
O 0.6988 0.1217 0.8737  2 H 0.98
O 0.6988 0.7520 0.8783  2 H 0.98
O 0.6988 0.1263 0.2480  2 H 0.98
O 0.3012 0.8783 0.1263  2 H 0.98
O 0.3012 0.2480 0.1217  2 H 0.98
O 0.3012 0.8737 0.7520  2 H 0.98
O 0.7262 0.5498 0.1032  1 Br 1.66
O 0.7262 0.5534 0.4502  1 Br 1.66
O 0.7262 0.8968 0.4466  1 Br 1.66
O 0.2738 0.4502 0.8968  1 Br 1.66
O 0.2738 0.4466 0.5498  1 Br 1.66
O 0.2738 0.1032 0.5534  1 Br 1.66